DFT (GGA-PBE) results for a geometry-optimized TiZn2Cd2Au5 structure.

- space-group type = P4/mbm
- size of the total moment (μB per formula unit) = 0.00
- VASP energy (eV per atom) = -3.0260
- DOS(E_F) (states/eV/cell) = 9.62
- energy of formation (meV per atom) = -160

Geometry as extended XYZ:
```
20
Lattice="-1.6311 1.6304 2.7676 6.4327 -4.5467 6.4697 6.4209 7.8711 -0.8526" Properties=species:S:1:pos:R:3 pbc="T T T"
Au 6.7818 1.3694 5.5350
Au 2.4008 -1.4582 4.6187
Au 2.3949 4.7508 0.9575
Au 7.0701 3.9846 4.1643
Au 10.5770 4.8917 5.6969
Au 4.1524 0.9702 4.2205
Au 4.4374 6.9735 0.8519
Au 0.6454 0.0632 2.6879
Au 4.4406 3.5854 2.8497
Au 6.7850 -2.0187 7.5328
Zn 4.9780 4.3927 0.3461
Zn 9.6389 3.8902 3.3892
Zn 3.2147 -0.5657 2.2280
Zn 7.8756 -1.0683 5.2710
Cd 9.6411 1.5339 4.7786
Cd 5.4366 -1.6991 4.2051
Cd 3.2125 1.7906 0.8385
Cd 7.4170 5.0236 1.4120
Ti 6.4268 1.6622 2.8086
Ti 0.0000 0.0000 0.0000
```



DFT (GGA-PBE) results for a geometry-optimized Tl2CdAu structure.

- space-group type = R-3m
- size of the total moment (μB per formula unit) = 0.00
- VASP energy (eV per atom) = -2.1934
- DOS(E_F) (states/eV/cell) = 1.08
- ΔE to the lowest computed polymorph (eV per formula unit) = 0.225
- energy of formation (meV per atom) = 38

Geometry as extended XYZ:
```
4
Lattice="-8.2924 5.0839 -0.9055 -9.4178 2.3502 1.1013 -7.8560 5.1716 2.6398" Properties=species:S:1:pos:R:3 pbc="T T T"
Cd -19.1747 9.4543 2.1267
Tl -25.3639 12.5060 2.8131
Tl -12.9854 6.4026 1.4402
Au -6.3916 3.1514 0.7089
```



DFT (GGA-PBE) results for a geometry-optimized Tl3Cd9Au2 structure.

- space-group type = Immm
- size of the total moment (μB per formula unit) = 0.00
- VASP energy (eV per atom) = -1.5899
- DOS(E_F) (states/eV/cell) = 4.12
- energy of formation (meV per atom) = -26

Geometry as extended XYZ:
```
14
Lattice="-1.3957 -0.1639 -4.3657 -7.6504 -4.6547 0.2114 -5.6542 6.8941 -0.8602" Properties=species:S:1:pos:R:3 pbc="T T T"
Au -7.0228 2.9314 -2.6830
Au -7.6774 -0.8558 -2.3316
Cd -4.5485 3.2074 -1.0753
Cd -2.0293 1.7346 -1.8254
Cd -2.5463 -1.2567 -1.5478
Cd -9.3125 3.7233 -4.3897
Cd -6.6523 1.1197 -0.3244
Cd -10.1517 -1.1318 -3.9392
Cd -12.1539 3.3323 -3.4667
Cd -12.6709 0.3410 -3.1892
Cd -5.3877 -1.6477 -0.6248
Tl 0.0000 0.0000 0.0000
Tl -4.8546 0.5342 -3.2862
Tl -9.8456 1.5414 -1.7284
```